Entry 1:
Crystalline ScFePt2 at its relaxed geometry. Source: Alexandria, functional PBE-GGA.

## Properties
- Space group: R-3m, No. 166
- Formation enthalpy at 0 K: -129 kJ/mol of formula units

Lattice parameters (Å, degrees): 8.969 8.969 8.969 18.57 18.57 18.57
Fractional positions:
Pt 0.003 0.003 0.003
Pt 0.497 0.497 0.497
Fe 0.750 0.750 0.750
Sc 0.250 0.250 0.250

---

Entry 2:
Crystalline ScFePt2 at its relaxed geometry. Source: Alexandria, functional PBE-GGA.

## Properties
- Space group: F-43m, No. 216
- Formation enthalpy at 0 K: -202 kJ/mol of formula units

Lattice parameters (Å, degrees): 4.480 4.480 4.480 60.00 60.00 60.00
Fractional positions:
Sc 0.750 0.750 0.750
Pt 0.250 0.250 0.250
Pt 0.000 0.000 0.000
Fe 0.500 0.500 0.500

---

Entry 3:
Crystalline ScFe4Pt at its relaxed geometry. Source: Alexandria, functional PBE-GGA.

## Properties
- Space group: F-43m, No. 216
- Formation enthalpy at 0 K: -158 kJ/mol of formula units

Lattice parameters (Å, degrees): 4.870 4.870 4.870 60.00 60.00 60.00
Fractional positions:
Fe 0.625 0.625 0.625
Fe 0.124 0.625 0.625
Fe 0.625 0.625 0.124
Fe 0.625 0.124 0.625
Sc 0.000 0.000 0.000
Pt 0.250 0.250 0.250

---

Entry 4:
Crystalline Sc4FePt at its relaxed geometry. Source: Alexandria, functional PBE-GGA.

## Properties
- Space group: C2/c, No. 15
- Formation enthalpy at 0 K: -304 kJ/mol of formula units
- Energy above the most stable polymorph in this dataset: 0 meV/atom

Lattice parameters (Å, degrees): 5.726 7.193 7.272 114.57 107.14 101.53
Fractional positions:
Sc 0.652 0.356 0.128
Sc 0.797 0.706 0.653
Sc 0.348 0.644 0.872
Sc 0.355 0.947 0.653
Sc 0.645 0.053 0.347
Sc 0.203 0.294 0.347
Sc 0.023 0.227 0.872
Sc 0.977 0.773 0.128
Fe 0.251 0.001 0.002
Fe 0.749 0.999 0.998
Pt 0.387 0.637 0.274
Pt 0.613 0.363 0.726

---

Entry 5:
Crystalline ScFe3Pt at its relaxed geometry. Source: Alexandria, functional PBE-GGA.

## Properties
- Space group: Pm-3m, No. 221
- Formation enthalpy at 0 K: 632 kJ/mol of formula units
- Energy above the most stable polymorph in this dataset: 559 meV/atom

Lattice parameters (Å, degrees): 4.314 4.314 4.314 90.00 90.00 90.00
Fractional positions:
Fe 0.500 0.000 0.000
Fe 0.000 0.500 0.000
Fe 0.000 0.000 0.500
Sc 0.000 0.000 0.000
Pt 0.500 0.500 0.500

---

Entry 6:
Crystalline ScFePt2 at its relaxed geometry. Source: Alexandria, functional PBE-GGA.

## Properties
- Space group: I-4m2, No. 119
- Formation enthalpy at 0 K: -272 kJ/mol of formula units

Lattice parameters (Å, degrees): 4.999 4.999 4.999 134.34 134.34 66.55
Fractional positions:
Pt 0.250 0.750 0.500
Pt 0.000 0.000 0.000
Fe 0.750 0.250 0.500
Sc 0.500 0.500 0.000

---

Entry 7:
Crystalline ScFePt2 at its relaxed geometry. Source: Alexandria, functional PBE-GGA.

## Properties
- Space group: R3m, No. 160
- Formation enthalpy at 0 K: -85 kJ/mol of formula units

Lattice parameters (Å, degrees): 9.044 9.044 9.044 18.36 18.36 18.36
Fractional positions:
Pt 0.005 0.005 0.005
Pt 0.248 0.248 0.248
Sc 0.499 0.499 0.499
Fe 0.748 0.748 0.748

---

Entry 8:
Crystalline Sc2FeSi4Pt3 at its relaxed geometry. Source: Alexandria, functional PBE-GGA.

## Properties
- Space group: P-4m2, No. 115
- E_form (uncorrected): -0.900 eV/atom

Lattice parameters (Å, degrees): 3.919 3.919 10.342 90.00 90.00 90.00
Fractional positions:
Sc 0.000 0.500 0.731
Sc 0.500 0.000 0.269
Pt 0.000 0.000 0.500
Pt 0.000 0.500 0.141
Pt 0.500 0.000 0.859
Si 0.000 0.000 0.000
Si 0.000 0.500 0.371
Si 0.500 0.500 0.000
Si 0.500 0.000 0.629
Fe 0.500 0.500 0.500

---

Entry 9:
Crystalline FePtSe at its relaxed geometry. Source: Alexandria, functional PBE-GGA.

## Properties
- Space group: I4mm, No. 107
- E_form (uncorrected): 0.126 eV/atom
- Energy above the most stable polymorph in this dataset: 33 meV/atom

Lattice parameters (Å, degrees): 5.643 5.643 2.979 74.69 74.69 30.61
Fractional positions:
Pt 0.347 0.347 0.653
Fe 0.006 0.006 0.994
Se 0.648 0.648 0.352

---

Entry 10:
Crystalline FePtSe at its relaxed geometry. Source: Alexandria, functional PBE-GGA.

## Properties
- Space group: P3m1, No. 156
- E_form (uncorrected): 0.200 eV/atom
- Energy above the most stable polymorph in this dataset: 106 meV/atom

Lattice parameters (Å, degrees): 3.870 3.870 3.478 90.00 90.00 120.00
Fractional positions:
Pt 0.667 0.333 0.350
Fe 0.000 0.000 0.888
Se 0.333 0.667 0.762

---

Entry 11:
Crystalline Fe3PtSe at its relaxed geometry. Source: Alexandria, functional PBE-GGA.

## Properties
- Space group: Pm-3m, No. 221
- E_form (uncorrected): 0.965 eV/atom
- Energy above the most stable polymorph in this dataset: 278 meV/atom

Lattice parameters (Å, degrees): 4.711 4.711 4.711 90.00 90.00 90.00
Fractional positions:
Fe 0.000 0.000 0.500
Fe 0.500 0.000 0.000
Fe 0.000 0.500 0.000
Se 0.500 0.500 0.500
Pt 0.000 0.000 0.000

---

Entry 12:
Crystalline FePtSe at its relaxed geometry. Source: Alexandria, functional PBE-GGA.

## Properties
- Space group: F-43m, No. 216
- E_form (uncorrected): 0.128 eV/atom
- Energy above the most stable polymorph in this dataset: 34 meV/atom

Lattice parameters (Å, degrees): 4.193 4.193 4.193 60.00 60.00 60.00
Fractional positions:
Fe 0.250 0.250 0.250
Pt 0.000 0.000 0.000
Se 0.500 0.500 0.500

---

Entry 13:
Crystalline FePtSe at its relaxed geometry. Source: Alexandria, functional PBE-GGA.

## Properties
- Space group: P3m1, No. 156
- E_form (uncorrected): 0.094 eV/atom
- Energy above the most stable polymorph in this dataset: 0 meV/atom

Lattice parameters (Å, degrees): 2.999 2.999 6.074 90.00 90.00 120.00
Fractional positions:
Se 0.333 0.667 0.710
Fe 0.000 0.000 0.985
Pt 0.667 0.333 0.305

---

Entry 14:
Crystalline Fe3PtSe at its relaxed geometry. Source: Alexandria, functional PBE-GGA.

## Properties
- Space group: Pm-3m, No. 221
- E_form (uncorrected): 0.687 eV/atom
- Energy above the most stable polymorph in this dataset: 0 meV/atom

Lattice parameters (Å, degrees): 4.339 4.339 4.339 90.00 90.00 90.00
Fractional positions:
Fe 0.500 0.000 0.000
Fe 0.000 0.000 0.500
Fe 0.000 0.500 0.000
Pt 0.500 0.500 0.500
Se 0.000 0.000 0.000

---

Entry 15:
Crystalline Th4FePtSe2 at its relaxed geometry. Source: Alexandria, functional PBE-GGA.

## Properties
- Space group: P2/m, No. 10
- E_form (uncorrected): -1.081 eV/atom

Lattice parameters (Å, degrees): 4.129 7.075 7.623 106.94 90.00 90.00
Fractional positions:
Th 0.000 0.730 0.215
Th 0.500 0.262 0.214
Th 0.500 0.738 0.786
Th 0.000 0.270 0.785
Pt 0.000 0.000 0.000
Se 0.500 0.000 0.500
Se 0.000 0.500 0.500
Fe 0.500 0.500 0.000

---

Entry 16:
Crystalline TiFePtSe2 at its relaxed geometry. Source: Alexandria, functional PBE-GGA.

## Properties
- Space group: P4/mmm, No. 123
- E_form (uncorrected): 0.654 eV/atom

Lattice parameters (Å, degrees): 4.780 4.483 4.780 90.00 90.00 90.00
Fractional positions:
Fe 0.000 0.500 0.000
Pt 0.500 0.500 0.500
Ti 0.000 0.000 0.000
Se 0.500 0.000 0.000
Se 0.000 0.000 0.500

---

Entry 17:
Crystalline YFe2PtSe at its relaxed geometry. Source: Alexandria, functional PBE-GGA.

## Properties
- Space group: P4/mmm, No. 123
- E_form (uncorrected): 0.067 eV/atom

Lattice parameters (Å, degrees): 4.423 4.883 4.423 90.00 90.00 90.00
Fractional positions:
Se 0.000 0.000 0.000
Fe 0.500 0.000 0.000
Fe 0.000 0.000 0.500
Y 0.500 0.500 0.500
Pt 0.000 0.500 0.000

---

Entry 18:
Crystalline FeSiPt at its relaxed geometry. Source: Alexandria, functional PBE-GGA.

## Properties
- Space group: P-6m2, No. 187
- E_form (uncorrected): -0.323 eV/atom

Lattice parameters (Å, degrees): 4.150 4.150 2.770 90.00 90.00 120.00
Fractional positions:
Pt 0.333 0.667 0.500
Si 0.667 0.333 0.499
Fe 0.000 0.000 0.001

---

Entry 19:
Crystalline Fe2Si2Pt at its relaxed geometry. Source: Alexandria, functional PBE-GGA.

## Properties
- Space group: P4/mbm, No. 127
- E_form (uncorrected): -0.363 eV/atom

Lattice parameters (Å, degrees): 6.686 6.686 2.685 90.00 90.00 90.00
Fractional positions:
Si 0.355 0.855 0.000
Si 0.145 0.355 0.000
Si 0.645 0.145 0.000
Si 0.855 0.645 0.000
Pt 0.000 0.000 0.000
Pt 0.500 0.500 0.000
Fe 0.149 0.649 0.500
Fe 0.851 0.351 0.500
Fe 0.649 0.851 0.500
Fe 0.351 0.149 0.500

---

Entry 20:
Crystalline FeSiPt2 at its relaxed geometry. Source: Alexandria, functional PBE-GGA.

## Properties
- Space group: Pmmm, No. 47
- E_form (uncorrected): -0.275 eV/atom

Lattice parameters (Å, degrees): 2.820 3.699 5.416 90.00 90.00 90.00
Fractional positions:
Pt 0.000 0.000 0.501
Pt 0.000 0.000 0.999
Fe 0.500 0.500 0.750
Si 0.500 0.500 0.250

---

no.,final energy (hartree per atom),size of the total moment (μB/f.u.),density of states at the Fermi level (states/eV/cell)
1,-0.2592,3.3,3.606
2,-0.2662,2.8,1.866
3,-0.2931,9.4,7.560
4,-0.2632,0.0,12.445
5,-0.2294,6.8,4.349
6,-0.2728,3.2,2.669
7,-0.2550,2.9,2.762
8,-0.2570,0.0,5.511
9,-0.2157,3.0,2.311
10,-0.2130,0.7,2.572
11,-0.2211,10.2,6.059
12,-0.2156,3.3,2.311
13,-0.2169,2.6,2.187
14,-0.2313,7.8,8.694
15,-0.2747,0.0,6.438
16,-0.1918,2.3,5.258
17,-0.2394,3.8,5.953
18,-0.2560,2.7,2.837
19,-0.2618,1.1,9.021
20,-0.2487,3.1,2.975